(1)
# EuVO3 PBE with a Hubbard U relaxed
data_EuVO3
_cell_length_a 5.4693
_cell_length_b 5.5354
_cell_length_c 7.8775
_cell_angle_alpha 90.00
_cell_angle_beta 90.00
_cell_angle_gamma 90.00
_symmetry_space_group_name_H-M 'P 1'
_symmetry_Int_Tables_number 1
loop_
_symmetry_equiv_pos_as_xyz
'x,y,z'
loop_
_atom_site_label
_atom_site_fract_x
_atom_site_fract_y
_atom_site_fract_z
O1 0.2206 0.2096 0.9644
O2 0.0694 0.4836 0.2500
O3 0.2206 0.2096 0.5356
O4 0.2794 0.7096 0.9644
O5 0.4306 0.9836 0.2500
O6 0.7794 0.7904 0.4644
O7 0.7206 0.2904 0.0356
O8 0.7794 0.7904 0.0356
O9 0.5694 0.0164 0.7500
O10 0.7206 0.2904 0.4644
O11 0.2794 0.7096 0.5356
O12 0.9306 0.5164 0.7500
Eu1 0.4943 0.4635 0.7500
Eu2 0.9943 0.0365 0.2500
Eu3 0.0057 0.9635 0.7500
Eu4 0.5057 0.5365 0.2500
V1 0.5000 0.0000 0.0000
V2 0.0000 0.5000 0.0000
V3 0.5000 0.0000 0.5000
V4 0.0000 0.5000 0.5000
# Calculated total energy: -9.0717 eV per atom
# SG: Pnma

***

(2)
# Eu2V2O5 PBE with a Hubbard U relaxed
data_Eu2V2O5
_cell_length_a 8.7496
_cell_length_b 8.7496
_cell_length_c 8.7496
_cell_angle_alpha 142.86
_cell_angle_beta 141.19
_cell_angle_gamma 54.80
_symmetry_space_group_name_H-M 'P 1'
_symmetry_Int_Tables_number 1
loop_
_symmetry_equiv_pos_as_xyz
'x,y,z'
loop_
_atom_site_label
_atom_site_fract_x
_atom_site_fract_y
_atom_site_fract_z
Eu1 0.6312 0.1096 0.5243
Eu2 0.3688 0.8932 0.4784
Eu3 0.0852 0.6096 0.4784
Eu4 0.9148 0.3932 0.5243
V1 0.0000 0.0099 0.0099
V2 0.3153 0.2134 0.0287
V3 0.5000 0.5099 0.0099
V4 0.6847 0.7134 0.8982
O1 0.6249 0.3601 0.4850
O2 0.7330 0.2428 0.0025
O3 0.7404 0.7428 0.5098
O4 0.2946 0.3936 0.9665
O5 0.0729 0.1719 0.9665
O6 0.7054 0.6719 0.0990
O7 0.2596 0.7694 0.0025
O8 0.3751 0.8601 0.7352
O9 0.9271 0.8936 0.0990
O10 0.2670 0.2694 0.5098
# Calculated total energy: -9.1061 eV per atom
# SG: Ima2